DFT (SCAN) results for a PBEsol-optimized structure of ZrNiBiI2.

abc: 4.977 4.977 5.267
angles: 90.00 90.00 90.00
Fractional coordinates of all 5 atoms:
Zr (0.000, 0.000, 0.000)
Ni (0.500, 0.500, 0.500)
Bi (0.500, 0.500, 0.000)
I (0.000, 0.500, 0.500)
I (0.500, 0.000, 0.500)

energy relative to the elements, uncorrected	517	meV per atom
E	-2.886	Ry/atom
N(E_F)	5.29	states/eV/cell


DFT (SCAN) results for a PBEsol-optimized structure of BiIO2.

abc: 3.827 3.827 19.167
angles: 90.00 90.00 120.00
Fractional coordinates of all 12 atoms:
Bi (0.000, 0.000, 0.000)
Bi (0.333, 0.667, 0.667)
Bi (0.667, 0.333, 0.333)
I (0.000, 0.000, 0.500)
I (0.333, 0.667, 0.167)
I (0.667, 0.333, 0.833)
O (0.000, 0.000, 0.385)
O (0.000, 0.000, 0.615)
O (0.333, 0.667, 0.051)
O (0.333, 0.667, 0.282)
O (0.667, 0.333, 0.718)
O (0.667, 0.333, 0.949)

energy relative to the elements, uncorrected	-574	meV per atom
E	-2.390	Ry/atom
N(E_F)	2.44	states/eV/cell
E above lowest polymorph	0	meV/atom